1.
An optimized crystal structure of Tb4SmSe5, computed with PBE.

**Total moment**: 0.000 Bohr magnetons per cell
**ΔE to the lowest computed polymorph**: 0 meV per atom
**Total energy**: -117.0 eV for the cell shown
**ΔE_f (raw)**: -17.8 eV per formula unit

Cell: 13.6555 4.1104 10.0642 Å, 90.00 119.62 90.00°
Last column: nearest neighbours and their distance in Å.
Space group C2/m (No. 12)
Inequivalent atoms, fractional coordinates:
Tb  0.0988  0.0000  0.3974 (multiplicity 4)  6 Se 2.89-2.91
Tb  0.2023  0.5000  0.7998 (multiplicity 4)  6 Se 2.89-2.91
Sm  0.0000  0.5000  0.0000 (multiplicity 2)  6 Se 2.94-2.95
Se  0.0000  0.5000  0.5000 (multiplicity 2)  6 Tb 2.91
Se  0.1030  0.0000  0.8978 (multiplicity 4)  4 Tb 2.89, 2 Sm 2.95
Se  0.2020  0.5000  0.3045 (multiplicity 4)  5 Tb 2.89-2.90, 1 Sm 2.94

---

2.
An optimized crystal structure of HoRhIO6, computed with PBE.

**Total moment**: 0.723 Bohr magnetons per cell
**Total energy**: -106.1 eV for the cell shown
**ΔE_f (raw)**: -9.8 eV per formula unit

Cell: 5.5107 5.5107 8.6910 Å, 90.00 90.00 120.00°
Last column: nearest neighbours and their distance in Å.
Space group P-31c (No. 163)
Inequivalent atoms, fractional coordinates:
Ho  0.3333  0.6667  0.2500 (multiplicity 2)  6 O 2.25
Rh  0.0000  0.0000  0.0000 (multiplicity 2)  6 O 2.08
I  0.3333  0.6667  0.7500 (multiplicity 2)  6 O 2.10
O  0.0217  0.3341  0.6221 (multiplicity 12)  1 Rh 2.08, 1 I 2.10, 1 Ho 2.25

---

3.
An optimized crystal structure of La2NiSb3Ir4, computed with PBE.

**Total moment**: 0.442 Bohr magnetons per cell
**Total energy**: -69.3 eV for the cell shown
**ΔE_f (raw)**: -5.8 eV per formula unit

Cell: 4.3844 4.3844 10.9129 Å, 90.00 90.00 90.00°
Last column: nearest neighbours and their distance in Å.
Space group P-4m2 (No. 115)
Inequivalent atoms, fractional coordinates:
La  0.0000  0.5000  0.2349 (multiplicity 2)  8 Ir 3.32-3.63, 6 Sb 3.37-3.40, 2 Ni 3.37
Ni  0.5000  0.5000  0.0000 (multiplicity 1)  4 Ir 2.59
Sb  0.0000  0.0000  0.0000 (multiplicity 1)  4 Ir 2.59
Sb  0.0000  0.5000  0.6379 (multiplicity 2)  5 Ir 2.57-2.66
Ir  0.0000  0.0000  0.5000 (multiplicity 1)  4 Sb 2.66
Ir  0.0000  0.5000  0.8731 (multiplicity 2)  3 Sb 2.57-2.59, 2 Ni 2.59
Ir  0.5000  0.5000  0.5000 (multiplicity 1)  4 Sb 2.66

---

4.
An optimized crystal structure of Pa2Zn16H, computed with PBE.

**Total moment**: 0.546 Bohr magnetons per cell
**Total energy**: -130.9 eV for the cell shown

Cell: 8.9698 8.9698 13.0386 Å, 90.00 90.00 120.00°
Last column: nearest neighbours and their distance in Å.
Space group R3m (No. 160, hexagonal axes)
Inequivalent atoms, fractional coordinates:
Pa  0.0000  0.0000  0.0000 (multiplicity 3)  13 Zn 3.05-3.22
Pa  0.0000  0.0000  0.3216 (multiplicity 3)  1 H 2.11
Zn  0.0000  0.0000  0.7630 (multiplicity 3)  12 Zn 2.74-3.03
Zn  0.0001  0.2945  0.6640 (multiplicity 18)  8 Zn 2.57-2.77
Zn  0.0091  0.5045  0.5127 (multiplicity 9)  9 Zn 2.55-2.74
Zn  0.0298  0.5149  0.8155 (multiplicity 9)  8 Zn 2.55-2.77, 1 H 2.82
Zn  0.0412  0.5206  0.1617 (multiplicity 9)  1 H 2.27
H  0.0000  0.0000  0.4837 (multiplicity 3)  1 Pa 2.11, 3 Zn 2.27

---

5.
An optimized crystal structure of Ho3Er4Zn, computed with PBE.

**Calculated formation energy**: -6.7 kJ/mol of atoms
**Total moment**: 0.002 Bohr magnetons per cell
**Total energy**: -33.8 eV for the cell shown

Cell: 3.5167 3.5167 18.5440 Å, 90.00 90.00 90.00°
Last column: nearest neighbours and their distance in Å.
Space group P4/mmm (No. 123)
Inequivalent atoms, fractional coordinates:
Ho  0.0000  0.0000  0.0000 (multiplicity 1)  4 Ho 3.52, 8 Er 3.52
Ho  0.0000  0.0000  0.2678 (multiplicity 2)  8 Er 3.50-3.55, 4 Ho 3.52
Er  0.5000  0.5000  0.1347 (multiplicity 2)  8 Ho 3.50-3.52, 4 Er 3.52
Er  0.5000  0.5000  0.4046 (multiplicity 2)  4 Zn 3.05
Zn  0.0000  0.0000  0.5000 (multiplicity 1)  8 Er 3.05

---

6.
An optimized crystal structure of AlSi2Os, computed with PBE.

**Total moment**: 0.000 Bohr magnetons per cell
**Total energy**: -95.7 eV for the cell shown
**ΔE_f (raw)**: 1.9 eV per formula unit

Cell: 5.6684 5.6684 10.8360 Å, 90.00 90.00 90.00°
Last column: nearest neighbours and their distance in Å.
Space group I-42d (No. 122)
Inequivalent atoms, fractional coordinates:
Al  0.0000  0.0000  0.0000 (multiplicity 4)  4 Si 2.54
Si  0.2144  0.2500  0.6250 (multiplicity 8)  2 Os 2.31, 2 Al 2.54
Os  0.0000  0.0000  0.5000 (multiplicity 4)  4 Si 2.31